# 1
# PBE KNaLiCd2, relaxed
# - DOS(E_F) (states/eV/atom) = 0.58
# - total energy (eV per atom) = -1.21
# - E_form (eV per atom) = 0.02
# - magnetization (μB/cell) = 0.00
# - calculated density (Mg/m³) = 3.08
# - crystal system = tetragonal
data_KNaLiCd2
_symmetry_space_group_name_H-M 'P 4/m m m'
_symmetry_Int_Tables_number 123
_symmetry_space_group_name_Hall '-P 4 2'
_cell_length_a 5.338
_cell_length_b 5.338
_cell_length_c 5.568
_cell_angle_alpha 90.00
_cell_angle_beta 90.00
_cell_angle_gamma 90.00
loop_
_atom_site_label
_atom_site_type_symbol
_atom_site_fract_x
_atom_site_fract_y
_atom_site_fract_z
K1 K 0.000 0.000 0.000
Na1 Na 0.500 0.500 0.000
Li1 Li 0.500 0.500 0.500
Cd1 Cd 0.000 0.500 0.500

=====

# 2
# PBE Al3TlRu, relaxed
# - DOS(E_F) (states/eV/atom) = 0.20
# - ΔE to the lowest computed polymorph (eV/f.u.) = 0.00
# - total energy (eV per atom) = -4.65
# - E_form (eV per atom) = -0.08
# - magnetization (μB/cell) = 0.00
# - calculated density (Mg/m³) = 5.80
# - crystal system = cubic
data_Al3TlRu
_symmetry_space_group_name_H-M 'P m -3 m'
_symmetry_Int_Tables_number 221
_symmetry_space_group_name_Hall '-P 4 2 3'
_cell_length_a 4.802
_cell_length_b 4.802
_cell_length_c 4.802
_cell_angle_alpha 90.00
_cell_angle_beta 90.00
_cell_angle_gamma 90.00
loop_
_atom_site_label
_atom_site_type_symbol
_atom_site_fract_x
_atom_site_fract_y
_atom_site_fract_z
Al1 Al 0.000 0.000 0.500
Tl1 Tl 0.500 0.500 0.500
Ru1 Ru 0.000 0.000 0.000

=====

# 3
# PBE Si3Br, relaxed
# - DOS(E_F) (states/eV/atom) = 0.38
# - ΔE to the lowest computed polymorph (eV/f.u.) = 0.39
# - energy relative to the elements, uncorrected (eV/atom) = 0.356
# - total energy (eV per atom) = -4.13
# - magnetization (μB/cell) = 0.00
# - calculated density (Mg/m³) = 3.20
# - crystal system = tetragonal
data_Si3Br
_symmetry_space_group_name_H-M 'I 4/m m m'
_symmetry_Int_Tables_number 139
_symmetry_space_group_name_Hall '-I 4 2'
_cell_length_a 3.642
_cell_length_b 3.642
_cell_length_c 25.723
_cell_angle_alpha 90.00
_cell_angle_beta 90.00
_cell_angle_gamma 90.00
loop_
_atom_site_label
_atom_site_type_symbol
_atom_site_fract_x
_atom_site_fract_y
_atom_site_fract_z
Si1 Si 0.000 0.000 0.183
Si2 Si 0.000 0.500 0.000
Si3 Si 0.000 0.500 0.250
Br1 Br 0.000 0.000 0.406

=====

# 4
# PBE LaY2Tl, relaxed
# - DOS(E_F) (states/eV/atom) = 1.10
# - ΔE to the lowest computed polymorph (eV/f.u.) = 0.01
# - total energy (eV per atom) = -5.25
# - E_form (eV per atom) = -0.19
# - magnetization (μB/cell) = 0.00
# - calculated density (Mg/m³) = 6.96
# - crystal system = tetragonal
data_LaY2Tl
_symmetry_space_group_name_H-M 'P 4/m m m'
_symmetry_Int_Tables_number 123
_symmetry_space_group_name_Hall '-P 4 2'
_cell_length_a 3.685
_cell_length_b 3.685
_cell_length_c 9.161
_cell_angle_alpha 90.00
_cell_angle_beta 90.00
_cell_angle_gamma 90.00
loop_
_atom_site_label
_atom_site_type_symbol
_atom_site_fract_x
_atom_site_fract_y
_atom_site_fract_z
La1 La 0.000 0.000 0.000
Y1 Y 0.500 0.500 0.280
Tl1 Tl 0.000 0.000 0.500

=====

# 5
# PBE DyEr3Pd, relaxed
# - DOS(E_F) (states/eV/atom) = 1.37
# - ΔE to the lowest computed polymorph (eV/f.u.) = 0.00
# - total energy (eV per atom) = -4.97
# - E_form (eV per atom) = -0.28
# - magnetization (μB/cell) = 0.00
# - calculated density (Mg/m³) = 9.26
# - crystal system = monoclinic
data_DyEr3Pd
_symmetry_space_group_name_H-M 'C 1 2/m 1'
_symmetry_Int_Tables_number 12
_symmetry_space_group_name_Hall '-C 2y'
_cell_length_a 17.119
_cell_length_b 5.187
_cell_length_c 6.259
_cell_angle_alpha 90.00
_cell_angle_beta 95.86
_cell_angle_gamma 90.00
loop_
_atom_site_label
_atom_site_type_symbol
_atom_site_fract_x
_atom_site_fract_y
_atom_site_fract_z
Dy1 Dy 0.090 0.000 0.366
Er1 Er 0.038 0.500 0.771
Er2 Er 0.182 0.000 0.901
Er3 Er 0.206 0.500 0.563
Pd1 Pd 0.145 0.500 0.134

=====

# 6
# PBE Sm2Ga2Rh, relaxed
# - DOS(E_F) (states/eV/atom) = 0.81
# - total energy (eV per atom) = -5.30
# - E_form (eV per atom) = -0.73
# - magnetization (μB/cell) = 0.00
# - calculated density (Mg/m³) = 8.07
# - crystal system = monoclinic
data_Sm2Ga2Rh
_symmetry_space_group_name_H-M 'C 1 2/m 1'
_symmetry_Int_Tables_number 12
_symmetry_space_group_name_Hall '-C 2y'
_cell_length_a 11.006
_cell_length_b 4.323
_cell_length_c 10.607
_cell_angle_alpha 90.00
_cell_angle_beta 117.66
_cell_angle_gamma 90.00
loop_
_atom_site_label
_atom_site_type_symbol
_atom_site_fract_x
_atom_site_fract_y
_atom_site_fract_z
Sm1 Sm 0.004 0.000 0.329
Sm2 Sm 0.189 0.000 0.118
Ga1 Ga 0.016 0.500 0.884
Ga2 Ga 0.148 0.500 0.558
Rh1 Rh 0.222 0.500 0.358

=====

# 7
# PBE SnMoIr, relaxed
# - DOS(E_F) (states/eV/atom) = 1.02
# - total energy (eV per atom) = -7.69
# - E_form (eV per atom) = 0.21
# - magnetization (μB/cell) = 0.00
# - calculated density (Mg/m³) = 13.05
# - crystal system = hexagonal
data_SnMoIr
_symmetry_space_group_name_H-M 'P -6 m 2'
_symmetry_Int_Tables_number 187
_symmetry_space_group_name_Hall 'P -6 2'
_cell_length_a 3.0403
_cell_length_b 3.0403
_cell_length_c 12.9384
_cell_angle_alpha 90.00
_cell_angle_beta 90.00
_cell_angle_gamma 120.00
loop_
_atom_site_label
_atom_site_type_symbol
_atom_site_fract_x
_atom_site_fract_y
_atom_site_fract_z
Sn1 Sn 0.0000 0.0000 0.1727
Mo1 Mo 0.0000 0.0000 0.5000
Mo2 Mo 0.3333 0.6667 0.0000
Ir1 Ir 0.3333 0.6667 0.3407

=====

# 8
# PBE BRuIO2, relaxed
# - DOS(E_F) (states/eV/atom) = 0.67
# - ΔE to the lowest computed polymorph (eV/f.u.) = 1.71
# - energy relative to the elements, uncorrected (eV/atom) = 0.701
# - total energy (eV per atom) = -4.78
# - magnetization (μB/cell) = 1.04
# - calculated density (Mg/m³) = 5.66
# - crystal system = tetragonal
data_BRuIO2
_symmetry_space_group_name_H-M 'P 4/m m m'
_symmetry_Int_Tables_number 123
_symmetry_space_group_name_Hall '-P 4 2'
_cell_length_a 3.461
_cell_length_b 3.461
_cell_length_c 6.628
_cell_angle_alpha 90.00
_cell_angle_beta 90.00
_cell_angle_gamma 90.00
loop_
_atom_site_label
_atom_site_type_symbol
_atom_site_fract_x
_atom_site_fract_y
_atom_site_fract_z
B1 B 0.000 0.000 0.000
Ru1 Ru 0.500 0.500 0.500
I1 I 0.000 0.000 0.500
O1 O 0.000 0.500 0.000

=====

# 9
# PBE BePdOF2, relaxed
# - DOS(E_F) (states/eV/atom) = 0.56
# - ΔE to the lowest computed polymorph (eV/f.u.) = 0.00
# - energy relative to the elements, uncorrected (eV/atom) = -1.522
# - total energy (eV per atom) = -5.05
# - magnetization (μB/cell) = 0.39
# - calculated density (Mg/m³) = 5.19
# - crystal system = tetragonal
data_BePdOF2
_symmetry_space_group_name_H-M 'P 4/m m m'
_symmetry_Int_Tables_number 123
_symmetry_space_group_name_Hall '-P 4 2'
_cell_length_a 3.162
_cell_length_b 3.162
_cell_length_c 5.424
_cell_angle_alpha 90.00
_cell_angle_beta 90.00
_cell_angle_gamma 90.00
loop_
_atom_site_label
_atom_site_type_symbol
_atom_site_fract_x
_atom_site_fract_y
_atom_site_fract_z
Be1 Be 0.000 0.000 0.000
Pd1 Pd 0.500 0.500 0.500
O1 O 0.000 0.000 0.500
F1 F 0.000 0.500 0.000

=====

# 10
# PBE Pm4ZnAg3, relaxed
# - DOS(E_F) (states/eV/atom) = 0.75
# - ΔE to the lowest computed polymorph (eV/f.u.) = 0.00
# - total energy (eV per atom) = -3.89
# - E_form (eV per atom) = -0.29
# - magnetization (μB/cell) = 0.00
# - calculated density (Mg/m³) = 7.88
# - crystal system = tetragonal
data_Pm4ZnAg3
_symmetry_space_group_name_H-M 'P 4/m m m'
_symmetry_Int_Tables_number 123
_symmetry_space_group_name_Hall '-P 4 2'
_cell_length_a 3.715
_cell_length_b 3.715
_cell_length_c 14.801
_cell_angle_alpha 90.00
_cell_angle_beta 90.00
_cell_angle_gamma 90.00
loop_
_atom_site_label
_atom_site_type_symbol
_atom_site_fract_x
_atom_site_fract_y
_atom_site_fract_z
Pm1 Pm 0.000 0.000 0.120
Pm2 Pm 0.000 0.000 0.373
Zn1 Zn 0.500 0.500 0.000
Ag1 Ag 0.500 0.500 0.247
Ag2 Ag 0.500 0.500 0.500

=====

# 11
# PBE Cs2H2Au, relaxed
# - DOS(E_F) (states/eV/atom) = 0.46
# - total energy (eV per atom) = -2.45
# - magnetization (μB/cell) = 0.00
# - calculated density (Mg/m³) = 4.52
# - crystal system = monoclinic
data_Cs2H2Au
_symmetry_space_group_name_H-M 'C 1 2/c 1'
_symmetry_Int_Tables_number 15
_symmetry_space_group_name_Hall '-C 2yc'
_cell_length_a 11.452
_cell_length_b 6.027
_cell_length_c 10.395
_cell_angle_alpha 90.00
_cell_angle_beta 107.79
_cell_angle_gamma 90.00
loop_
_atom_site_label
_atom_site_type_symbol
_atom_site_fract_x
_atom_site_fract_y
_atom_site_fract_z
Cs1 Cs 0.133 0.249 0.128
H1 H 0.215 0.251 0.490
Au1 Au 0.000 0.251 0.750

=====

Question: Look up the DOS(E_F) of the first one.
Answer: 0.58 states/eV/atom

=====

Copy entry 6 word for word.
# PBE Sm2Ga2Rh, relaxed
# - DOS(E_F) (states/eV/atom) = 0.81
# - total energy (eV per atom) = -5.30
# - E_form (eV per atom) = -0.73
# - magnetization (μB/cell) = 0.00
# - calculated density (Mg/m³) = 8.07
# - crystal system = monoclinic
data_Sm2Ga2Rh
_symmetry_space_group_name_H-M 'C 1 2/m 1'
_symmetry_Int_Tables_number 12
_symmetry_space_group_name_Hall '-C 2y'
_cell_length_a 11.006
_cell_length_b 4.323
_cell_length_c 10.607
_cell_angle_alpha 90.00
_cell_angle_beta 117.66
_cell_angle_gamma 90.00
loop_
_atom_site_label
_atom_site_type_symbol
_atom_site_fract_x
_atom_site_fract_y
_atom_site_fract_z
Sm1 Sm 0.004 0.000 0.329
Sm2 Sm 0.189 0.000 0.118
Ga1 Ga 0.016 0.500 0.884
Ga2 Ga 0.148 0.500 0.558
Rh1 Rh 0.222 0.500 0.358

=====

Question: Look up the total energy of the first one.
Answer: -1.21 eV per atom